Entry 1:
A relaxed structure of La6Pm8Er, computed with PBE-GGA.

Unit cell a=8.9052 b=8.9052 c=8.9052 alpha=63.17 beta=63.17 gamma=63.17
Last column: nearest neighbours and their distance in Å.
Element x y z (fractional)
La1 0.0368 0.7370 0.5950  4 Pm 3.44-3.77, 1 Er 3.58, 2 La 3.64
La2 0.2630 0.4050 0.9632  4 Pm 3.44-3.77, 1 Er 3.58, 2 La 3.64
La3 0.4050 0.9632 0.2630  4 Pm 3.44-3.77, 1 Er 3.58, 2 La 3.64
La4 0.5950 0.0368 0.7370  4 Pm 3.44-3.77, 1 Er 3.58, 2 La 3.64
La5 0.7370 0.5950 0.0368  4 Pm 3.44-3.77, 1 Er 3.58, 2 La 3.64
La6 0.9632 0.2630 0.4050  4 Pm 3.44-3.77, 1 Er 3.58, 2 La 3.64
Pm1 0.0774 0.0774 0.0774  4 Pm 3.29-3.51, 3 La 3.53
Pm2 0.2103 0.2586 0.6138  3 La 3.44-3.77, 5 Pm 3.51-3.56, 1 Er 3.60
Pm3 0.2586 0.6138 0.2103  3 La 3.44-3.77, 5 Pm 3.51-3.56, 1 Er 3.60
Pm4 0.3862 0.7897 0.7414  3 La 3.44-3.77, 5 Pm 3.51-3.56, 1 Er 3.60
Pm5 0.6138 0.2103 0.2586  3 La 3.44-3.77, 5 Pm 3.51-3.56, 1 Er 3.60
Pm6 0.7414 0.3862 0.7897  3 La 3.44-3.77, 5 Pm 3.51-3.56, 1 Er 3.60
Pm7 0.7897 0.7414 0.3862  3 La 3.44-3.77, 5 Pm 3.51-3.56, 1 Er 3.60
Pm8 0.9226 0.9226 0.9226  4 Pm 3.29-3.51, 3 La 3.53
Er1 0.5000 0.5000 0.5000  6 La 3.58, 6 Pm 3.60

Summary:
V (Å³ per cell): 534
D(E_F) (states/eV per cell): 24.38
Formation enthalpy at 0 K (eV per atom): 0.10



Entry 2:
A relaxed structure of La8Pm6Er, computed with PBE-GGA.

Unit cell a=8.9056 b=8.9056 c=8.9056 alpha=63.20 beta=63.20 gamma=63.20
Last column: nearest neighbours and their distance in Å.
Element x y z (fractional)
La1 0.0778 0.0778 0.0778  4 La 3.31-3.51, 3 Pm 3.44
La2 0.2115 0.2527 0.6141  3 Pm 3.51-3.91, 5 La 3.51-3.58, 1 Er 3.64
La3 0.2527 0.6141 0.2115  3 Pm 3.51-3.91, 5 La 3.51-3.58, 1 Er 3.64
La4 0.3859 0.7885 0.7473  3 Pm 3.51-3.91, 5 La 3.51-3.58, 1 Er 3.64
La5 0.6141 0.2115 0.2527  3 Pm 3.51-3.91, 5 La 3.51-3.58, 1 Er 3.64
La6 0.7473 0.3859 0.7885  3 Pm 3.51-3.91, 5 La 3.51-3.58, 1 Er 3.64
La7 0.7885 0.7473 0.3859  3 Pm 3.51-3.91, 5 La 3.51-3.58, 1 Er 3.64
La8 0.9222 0.9222 0.9222  4 La 3.31-3.51, 3 Pm 3.44
Pm1 0.0412 0.7471 0.5951  3 La 3.44-3.53, 1 Er 3.56, 4 Pm 3.67-3.84
Pm2 0.2529 0.4049 0.9588  3 La 3.44-3.53, 1 Er 3.56, 4 Pm 3.67-3.84
Pm3 0.4049 0.9588 0.2529  3 La 3.44-3.53, 1 Er 3.56, 4 Pm 3.67-3.84
Pm4 0.5951 0.0412 0.7471  3 La 3.44-3.53, 1 Er 3.56, 4 Pm 3.67-3.84
Pm5 0.7471 0.5951 0.0412  3 La 3.44-3.53, 1 Er 3.56, 4 Pm 3.67-3.84
Pm6 0.9588 0.2529 0.4049  3 La 3.44-3.53, 1 Er 3.56, 4 Pm 3.67-3.84
Er1 0.5000 0.5000 0.5000  6 Pm 3.56, 6 La 3.64

Summary:
V (Å³ per cell): 535
D(E_F) (states/eV per cell): 24.97
Formation enthalpy at 0 K (eV per atom): 0.10



Entry 3:
A relaxed structure of La3Pm4Er4, computed with PBE-GGA.

Unit cell a=10.8372 b=6.7315 c=6.7315 alpha=50.80 beta=90.00 gamma=90.00
Last column: nearest neighbours and their distance in Å.
Element x y z (fractional)
La1 0.0000 0.0000 0.0000  7 Pm 3.60-3.81, 2 La 3.67, 5 Er 3.72-3.76
La2 0.2866 0.1602 0.1602  5 Er 3.36-3.74, 4 Pm 3.59-3.71, 1 La 3.67
La3 0.7134 0.1602 0.1602  5 Er 3.36-3.74, 4 Pm 3.59-3.71, 1 La 3.67
Pm1 0.0000 0.7041 0.7041  2 Er 3.14, 2 Pm 3.45
Pm2 0.2163 0.4957 0.4957  4 Er 3.29-3.50, 2 Pm 3.45-3.49, 2 La 3.59
Pm3 0.5000 0.6323 0.6323  3 Er 3.31-3.43, 2 Pm 3.49
Pm4 0.7837 0.4957 0.4957  4 Er 3.29-3.50, 2 Pm 3.45-3.49, 2 La 3.59
Er1 0.0000 0.3061 0.3061  4 Pm 3.14-3.29
Er2 0.3064 0.8549 0.8549  4 Pm 3.43-3.79, 2 Er 3.57, 4 La 3.72-3.76
Er3 0.5000 0.3602 0.3602  3 Pm 3.31-3.49, 2 La 3.36, 4 Er 3.57
Er4 0.6936 0.8549 0.8549  4 Pm 3.43-3.79, 2 Er 3.57, 4 La 3.72-3.76

Summary:
V (Å³ per cell): 381
Energy above the most stable polymorph in this dataset (meV per atom): 15
D(E_F) (states/eV per cell): 18.14
Formation enthalpy at 0 K (eV per atom): 0.15



Entry 4:
A relaxed structure of LaPm2Er, computed with PBE-GGA.

Unit cell a=5.1276 b=5.1276 c=5.1770 alpha=90.00 beta=90.00 gamma=90.00
Last column: nearest neighbours and their distance in Å.
Element x y z (fractional)
La1 0.0000 0.0000 0.0000  4 Er 3.63, 8 Pm 3.64
Pm1 0.0000 0.5000 0.5000  4 Pm 3.63, 4 La 3.64, 4 Er 3.64
Pm2 0.5000 0.0000 0.5000  4 Pm 3.63, 4 La 3.64, 4 Er 3.64
Er1 0.5000 0.5000 0.0000  4 La 3.63, 8 Pm 3.64

Summary:
V (Å³ per cell): 136
Energy above the most stable polymorph in this dataset (meV per atom): 0
D(E_F) (states/eV per cell): 6.42
Formation enthalpy at 0 K (eV per atom): 0.02



Entry 5:
A relaxed structure of La6Pm2Er3, computed with PBE-GGA.

Unit cell a=6.3185 b=8.1747 c=8.2073 alpha=107.63 beta=97.27 gamma=104.63
Last column: nearest neighbours and their distance in Å.
Element x y z (fractional)
La1 0.0457 0.1837 0.4122  4 Er 3.63-3.67, 5 La 3.63-3.72, 3 Pm 3.64-3.65
La2 0.2261 0.9071 0.0485  7 La 3.63-3.72, 3 Er 3.64-3.66, 2 Pm 3.67-3.68
La3 0.3155 0.2732 0.8619  6 La 3.63-3.71, 4 Er 3.63-3.66, 2 Pm 3.67-3.70
La4 0.6845 0.7268 0.1381  6 La 3.63-3.71, 4 Er 3.63-3.66, 2 Pm 3.67-3.70
La5 0.7739 0.0929 0.9515  7 La 3.63-3.72, 3 Er 3.64-3.66, 2 Pm 3.67-3.68
La6 0.9543 0.8163 0.5878  4 Er 3.63-3.67, 5 La 3.63-3.72, 3 Pm 3.64-3.65
Pm1 0.4104 0.6370 0.6802  1 Pm 3.63, 4 Er 3.64-3.67, 7 La 3.64-3.70
Pm2 0.5896 0.3630 0.3198  1 Pm 3.63, 4 Er 3.64-3.67, 7 La 3.64-3.70
Er1 0.1372 0.5458 0.2281  7 La 3.63-3.67, 3 Pm 3.64-3.67, 2 Er 3.66-3.69
Er2 0.5000 0.0000 0.5000  8 La 3.65, 2 Pm 3.65, 2 Er 3.66
Er3 0.8628 0.4542 0.7719  7 La 3.63-3.67, 3 Pm 3.64-3.67, 2 Er 3.66-3.69

Summary:
V (Å³ per cell): 381
D(E_F) (states/eV per cell): 17.62
Formation enthalpy at 0 K (eV per atom): 0.02



Entry 6:
A relaxed structure of La8Pm2Er, computed with PBE-GGA.

Unit cell a=9.6939 b=9.6939 c=9.6939 alpha=145.17 beta=129.15 gamma=63.11
Last column: nearest neighbours and their distance in Å.
Element x y z (fractional)
La1 0.1596 0.1596 0.0000  8 La 3.58-3.84, 2 Pm 3.69, 2 Er 3.92
La2 0.1642 0.3655 0.7987  1 Er 3.33, 3 La 3.35-3.65, 3 Pm 3.53-3.67
La3 0.2912 0.0000 0.2912  7 La 3.48-3.65, 2 Pm 3.77, 2 Er 3.78
La4 0.4331 0.6345 0.7987  1 Er 3.33, 3 La 3.35-3.65, 3 Pm 3.53-3.67
La5 0.5669 0.3655 0.2013  1 Er 3.33, 3 La 3.35-3.65, 3 Pm 3.53-3.67
La6 0.7088 0.0000 0.7088  7 La 3.48-3.65, 2 Pm 3.77, 2 Er 3.78
La7 0.8358 0.6345 0.2013  1 Er 3.33, 3 La 3.35-3.65, 3 Pm 3.53-3.67
La8 0.8404 0.8404 0.0000  8 La 3.58-3.84, 2 Pm 3.69, 2 Er 3.92
Pm1 0.2978 0.7978 0.5000  10 La 3.53-3.77
Pm2 0.7022 0.2022 0.5000  10 La 3.53-3.77
Er1 0.0000 0.5000 0.5000  4 La 3.33

Summary:
V (Å³ per cell): 399
Energy above the most stable polymorph in this dataset (meV per atom): 0
D(E_F) (states/eV per cell): 18.13
Formation enthalpy at 0 K (eV per atom): 0.10